Record 1
8
Lattice="4.840 0.000 0.000 0.000 4.840 0.000 0.000 0.000 9.778" Properties=species:S:1:pos:R:3 comment="KCdTe2 | Alexandria | GGA-PBEsol | relaxed" raw_formation_energy_ev_per_fu=-0.98 space_group="I4/mmm, No. 139" e_tot_ev_per_atom=-2.592 pbc="T T T"
K 0.000 0.000 0.000
K 2.420 2.420 4.889
Cd 0.000 0.000 4.889
Cd 2.420 2.420 0.000
Te 0.000 2.420 2.444
Te 0.000 2.420 7.333
Te 2.420 0.000 2.444
Te 2.420 0.000 7.333

Record 2
8
Lattice="4.268 0.000 0.000 0.000 6.262 0.000 0.000 0.000 9.411" Properties=species:S:1:pos:R:3 comment="KCdTe2 | Alexandria | GGA-PBEsol | relaxed" raw_formation_energy_ev_per_fu=-1.43 space_group="Immm, No. 71" e_tot_ev_per_atom=-2.702 pbc="T T T"
K 0.000 0.000 0.000
K 2.134 3.131 4.705
Cd 0.000 0.000 4.705
Cd 2.134 3.131 0.000
Te 0.000 3.131 1.941
Te 0.000 3.131 7.470
Te 2.134 0.000 2.764
Te 2.134 0.000 6.647